A plane-wave DFT calculation with PBE was carried out for a geometry-optimized KCo3Re structure.

abc: 4.6120 4.6120 4.6120
angles: 90.00 90.00 90.00
Closest atoms and distances in Å follow each position.
Fractional positions:
K 0.0000 0.0000 0.0000  12 Co 3.26
Co 0.0000 0.5000 0.5000  2 Re 2.31
Co 0.5000 0.0000 0.5000  2 Re 2.31
Co 0.5000 0.5000 0.0000  2 Re 2.31
Re 0.5000 0.5000 0.5000  6 Co 2.31

Excess energy over the best structure of this formula in the dataset in kJ/mol of formula units: 0
Space-group type: No. 221
Total energy in eV/atom: -5.677


A plane-wave DFT calculation with PBE was carried out for a geometry-optimized K2CoRe structure.

abc: 4.2288 4.2288 10.1423
angles: 92.78 92.78 39.68
Closest atoms and distances in Å follow each position.
Fractional positions:
K 0.0000 0.0000 0.0000  2 K 2.87
K 0.2286 0.2286 0.5608  2 K 2.87
Co 0.7434 0.7434 0.2456  3 Re 2.29-2.37
Re 0.4706 0.4706 0.3070  3 Co 2.29-2.37

Excess energy over the best structure of this formula in the dataset in kJ/mol of formula units: 7
Space-group type: No. 8
Total energy in eV/atom: -4.555